CrCo3Bi: optimized geometry, PBE.

Computed properties:
Its calculated formation energy is 2211 meV/atom.

Cell and atoms, written as extended XYZ:
```
5
Lattice="-2.914 3.483 1.003 -3.404 -2.188 -2.291 -1.244 -2.170 3.921" Properties=species:S:1:pos:R:3 pbc="T T T"
Cr -3.781 -0.438 1.316
Co -1.702 -1.094 -1.145
Co -0.622 -1.085 1.960
Co -1.457 1.741 0.502
Bi 0.000 0.000 0.000
```

---

La12Ge3C5: optimized geometry, PBE.

Computed properties:
Its calculated formation energy is -245 meV/atom.

Cell and atoms, written as extended XYZ:
```
80
Lattice="-4.855 -8.939 -10.027 13.524 3.546 -2.927 -0.592 -6.387 12.763" Properties=species:S:1:pos:R:3 pbc="T T T"
Ge 1.356 -6.173 -7.023
Ge 5.821 -5.961 -9.374
Ge 7.952 -4.684 2.021
Ge 0.255 -4.187 1.913
Ge -2.706 -8.975 -5.949
Ge 6.484 -2.733 -2.399
Ge 1.593 -9.047 2.208
Ge 10.782 -2.805 5.758
Ge 7.822 -7.593 -2.105
Ge 0.124 -7.096 -2.213
Ge 2.256 -5.819 9.183
Ge 6.721 -5.607 6.831
C 4.317 -1.384 0.840
C 6.762 1.773 -1.463
C 0.000 0.000 0.000
C 1.486 -3.264 -2.897
C -2.724 -7.663 1.368
C 4.334 -2.697 -6.477
C 9.314 -0.853 1.338
C -2.469 -11.850 3.281
C 4.589 -6.883 -4.564
C -0.574 -7.699 5.446
C 8.651 -4.081 -5.637
C 4.038 -5.890 -0.096
C -2.428 -4.470 -5.014
C -0.296 -3.193 6.382
C 3.488 -4.897 4.372
C 10.546 0.070 -3.473
C 6.466 -1.420 4.918
C -1.237 -10.927 -1.529
C 6.590 -8.516 2.705
C 3.760 -10.396 -1.031
La -1.822 -6.051 -7.104
La 5.317 -3.584 0.436
La 0.236 -9.239 -7.132
La 0.164 -4.734 -4.344
La 6.300 -7.083 0.740
La 3.199 -7.756 -9.206
La 8.940 -2.684 -0.247
La 11.829 1.632 -2.090
La 9.889 -6.203 -0.126
La 4.393 -5.386 -6.493
La 2.336 -7.843 -4.498
La 8.255 -4.278 -10.542
La 8.656 -1.925 3.440
La 3.591 -2.510 -3.899
La 11.606 0.013 1.336
La -0.740 -7.069 3.084
La 1.900 -1.447 1.238
La 6.844 -2.429 -5.546
La 8.205 -5.963 -7.141
La 4.958 -0.206 -1.210
La 10.862 -5.013 3.469
La 5.253 -5.757 -2.492
La 6.374 -8.548 -4.773
La -0.074 -11.800 2.766
La 2.824 -6.023 2.301
La 1.702 -3.232 4.581
La 8.151 0.020 -2.958
La -0.128 -5.817 6.950
La -2.785 -6.767 -3.660
La 3.119 -11.574 1.019
La 1.233 -9.351 5.354
La 8.816 -4.711 -3.276
La 6.177 -10.333 -1.429
La -3.529 -11.793 -1.527
La -0.579 -9.855 -3.631
La -0.179 -7.502 10.350
La 4.486 -9.270 3.707
La -1.813 -5.577 -0.066
La 3.684 -6.394 6.302
La 5.741 -3.937 4.306
La -3.753 -13.412 1.898
La -0.864 -9.096 0.055
La 7.912 -7.047 4.153
La 4.878 -4.024 9.015
La 1.777 -4.697 -0.931
La 7.840 -2.541 6.941
La 2.760 -8.196 -0.628
La 9.899 -5.729 6.913
```

---

Ti5Cr3H12: optimized geometry, PBE.

Computed properties:
The total energy is -445.106 eV/cell.

Cell and atoms, written as extended XYZ:
```
80
Lattice="9.203 0.000 0.000 -3.068 8.677 0.000 -3.068 -4.339 7.515" Properties=species:S:1:pos:R:3 pbc="T T T"
Cr 5.369 2.712 0.939
Cr 5.369 5.965 0.939
Cr -0.767 3.796 4.697
Cr 0.767 -0.542 2.818
Cr 6.903 0.000 1.879
Cr 0.767 4.339 1.879
Cr 2.301 0.000 5.636
Cr -3.835 4.339 5.636
Cr 2.301 4.881 4.697
Cr 3.835 0.542 2.818
Cr -2.301 -1.627 6.575
Cr -2.301 1.627 6.575
Ti -0.767 2.169 1.879
Ti -1.534 4.339 0.000
Ti 0.000 0.000 0.000
Ti 2.301 1.627 0.939
Ti 3.068 -2.169 3.757
Ti 3.068 4.339 0.000
Ti -2.301 4.881 2.818
Ti 3.835 -2.712 6.575
Ti 3.835 3.796 2.818
Ti 0.767 -2.169 5.636
Ti 2.301 6.508 1.879
Ti 1.534 2.169 3.757
Ti 4.602 0.000 0.000
Ti -1.534 -2.169 3.757
Ti -0.767 0.542 4.697
Ti -0.767 7.050 0.939
Ti -3.068 2.169 3.757
Ti 5.369 -0.542 4.697
Ti 0.767 2.712 6.575
Ti 3.835 2.169 5.636
H 6.026 1.035 0.570
H 0.110 3.180 3.146
H 6.633 1.814 2.011
H 4.104 1.335 1.181
H 1.033 3.507 4.934
H 6.242 4.365 1.177
H -0.497 4.818 3.192
H -2.570 7.342 1.181
H 0.501 5.171 4.934
H 4.496 4.312 1.177
H 4.712 2.193 2.576
H 4.712 7.642 0.570
H -2.567 3.857 4.327
H 1.640 3.306 0.565
H -3.178 6.484 2.576
H 1.644 -1.158 4.369
H -0.501 0.350 1.746
H 1.640 5.344 0.611
H 4.104 6.863 2.011
H -0.106 3.333 0.611
H -2.035 4.689 5.768
H 2.031 3.859 3.192
H 4.101 4.820 4.327
H 3.174 -1.032 6.949
H 1.037 0.479 4.322
H -1.033 -0.482 3.187
H -0.106 5.371 0.565
H -1.037 -2.525 5.504
H 5.103 -0.350 1.746
H 3.174 1.006 6.903
H 1.428 -1.006 6.903
H 1.424 5.497 3.146
H 3.569 3.988 5.768
H 6.245 -2.145 4.938
H 5.635 0.482 3.187
H -1.644 -3.304 6.945
H 1.428 1.032 6.949
H 2.567 -0.832 2.581
H -1.428 0.027 6.338
H -1.644 2.145 4.938
H 5.638 -3.004 6.333
H 3.565 -0.479 4.322
H -1.037 3.004 6.333
H -3.174 -0.027 6.338
H 2.035 0.832 2.581
H -3.565 2.525 5.504
H 2.958 1.158 4.369
H -2.958 3.304 6.945
```